# 1
Compound: TiFe3P
Source: Alexandria via LeMat-Bulk
Functional: GGA-PBE
Structure: optimized geometry

```
5
Lattice="4.0733 0.0000 0.0000 0.0000 4.0733 0.0000 0.0000 0.0000 4.0733" Properties=species:S:1:pos:R:3 pbc="T T T"
Ti 2.0367 2.0367 2.0367
P 0.0000 0.0000 0.0000
Fe 0.0000 0.0000 2.0367
Fe 0.0000 2.0367 0.0000
Fe 2.0367 0.0000 0.0000
```

Output
* energy relative to the lowest polymorph listed for this composition: 0.0 kJ per mole of atoms
* magnetic moment: 1.468 μB per formula unit
* calculated formation energy: 0.10 eV per atom
* SG: Pm-3m (221)



# 2
Compound: Sm2Dy6Er3Pu
Source: Alexandria via LeMat-Bulk
Functional: GGA-PBE
Structure: optimized geometry

```
12
Lattice="6.1290 -0.0029 -0.0063 -3.0656 5.3072 -0.0063 -1.0141 -1.7559 11.5134" Properties=species:S:1:pos:R:3 pbc="T T T"
Dy 2.0553 3.5588 2.8809
Pu 0.0000 0.0000 0.0000
Er -2.0384 3.5433 5.7504
Er 1.0247 1.7742 5.7504
Dy 3.0579 1.7983 8.6150
Dy 2.0199 0.0010 2.8859
Er 4.0878 0.0052 5.7504
Dy 0.0294 3.5474 8.6150
Dy -1.0086 1.7501 2.8859
Sm 0.0002 3.5366 -0.0063
Sm 3.0632 1.7676 -0.0063
Dy -0.0060 -0.0103 8.6199
```

Output
* magnetic moment: 6.343 μB per formula unit
* calculated formation energy: 0.05 eV per atom
* SG: C2/m (12)



| no. | total energy (Ry/atom) |
| --- | --- |
| 1 | -0.561 |
| 2 | -0.395 |